The following is a PBE-GGA calculation of KYIr2 after structural relaxation, from the Alexandria database.

a = 11.405 Å, b = 2.984 Å, c = 5.386 Å
α = 90.00°, β = 109.35°, γ = 90.00°
Space group Cm (No. 8)
One atom of each set of equivalent atoms:
K 0.000 0.000 0.000 (multiplicity 2)
Y 0.305 0.500 0.386 (multiplicity 2)
Ir 0.054 0.500 0.532 (multiplicity 2)
Ir 0.230 0.000 0.830 (multiplicity 2)

Values from the calculation:
The value obtained for the total DFT energy (no corrections) is -48.55 eV per cell. The relative energy among the computed polymorphs comes out at 191 meV/atom. Its volume is 21.6 Å³/atom.

***

The following is a PBE-GGA calculation of TcAu after structural relaxation, from the Alexandria database.

a = 5.771 Å, b = 5.771 Å, c = 5.771 Å
α = 90.00°, β = 90.00°, γ = 90.00°
Space group F-43m (No. 216)
One atom of each set of equivalent atoms:
Tc 0.000 0.000 0.000 (multiplicity 4)
Au 0.250 0.250 0.750 (multiplicity 4)

Values from the calculation:
The value obtained for the total DFT energy (no corrections) is -40.23 eV per cell. The relative energy among the computed polymorphs comes out at 1713 meV/atom. Its volume is 24.0 Å³/atom.

***

The following is a PBE-GGA calculation of AcAs2Os after structural relaxation, from the Alexandria database.

a = 4.456 Å, b = 4.456 Å, c = 4.384 Å
α = 90.00°, β = 90.00°, γ = 90.00°
Space group P4/mmm (No. 123)
One atom of each set of equivalent atoms:
Ac 0.000 0.000 0.000 (multiplicity 1)
As 0.000 0.500 0.500 (multiplicity 2)
Os 0.500 0.500 0.000 (multiplicity 1)

Values from the calculation:
The value obtained for the total DFT energy (no corrections) is -23.82 eV per cell. The relative energy among the computed polymorphs comes out at 791 meV/atom. Its volume is 21.8 Å³/atom.

***

The following is a PBE-GGA calculation of PmPrEr2 after structural relaxation, from the Alexandria database.

a = 7.144 Å, b = 3.596 Å, c = 10.164 Å
α = 90.00°, β = 90.77°, γ = 90.00°
Space group P2_1/m (No. 11)
One atom of each set of equivalent atoms:
Pm 0.124 0.250 0.376 (multiplicity 2)
Pr 0.374 0.750 0.126 (multiplicity 2)
Er 0.124 0.250 0.874 (multiplicity 2)
Er 0.374 0.750 0.624 (multiplicity 2)

Values from the calculation:
The value obtained for the total DFT energy (no corrections) is -37.19 eV per cell. The relative energy among the computed polymorphs comes out at 12 meV/atom. Its volume is 32.6 Å³/atom.

***

The following is a PBE-GGA calculation of Mg3NiSn2 after structural relaxation, from the Alexandria database.

a = 13.384 Å, b = 5.867 Å, c = 6.662 Å
α = 90.00°, β = 90.00°, γ = 90.00°
Space group Cmcm (No. 63)
One atom of each set of equivalent atoms:
Mg 0.000 0.160 0.250 (multiplicity 4)
Mg 0.187 0.093 0.750 (multiplicity 8)
Ni 0.000 0.293 0.750 (multiplicity 4)
Sn 0.125 0.500 0.000 (multiplicity 8)

Values from the calculation:
The value obtained for the total DFT energy (no corrections) is -76.02 eV per cell. Its volume is 21.8 Å³/atom.

***

The following is a PBE-GGA calculation of CrCdAg after structural relaxation, from the Alexandria database.

a = 3.429 Å, b = 3.429 Å, c = 9.311 Å
α = 90.00°, β = 90.00°, γ = 90.00°
Space group I4mm (No. 107)
One atom of each set of equivalent atoms:
Cr 0.000 0.000 0.000 (multiplicity 2)
Cd 0.000 0.000 0.331 (multiplicity 2)
Ag 0.000 0.000 0.657 (multiplicity 2)

Values from the calculation:
The value obtained for the total DFT energy (no corrections) is -24.81 eV per cell. The relative energy among the computed polymorphs comes out at 0 meV/atom. Its volume is 18.2 Å³/atom.

***

The following is a PBE-GGA calculation of SrCu2F6 after structural relaxation, from the Alexandria database.

a = 5.4221 Å, b = 5.4221 Å, c = 5.1199 Å
α = 90.00°, β = 90.00°, γ = 120.00°
Space group P-31m (No. 162)
One atom of each set of equivalent atoms:
Sr 0.0000 0.0000 0.0000 (multiplicity 1)
Cu 0.3333 0.6667 0.5000 (multiplicity 2)
F 0.0000 0.3667 0.7141 (multiplicity 6)

Values from the calculation:
The value obtained for the total DFT energy (no corrections) is -41.78 eV per cell. Its volume is 14.5 Å³/atom.

***

The following is a PBE-GGA calculation of CeHoTm6 after structural relaxation, from the Alexandria database.

a = 4.946 Å, b = 4.946 Å, c = 9.867 Å
α = 90.00°, β = 90.00°, γ = 90.00°
Space group P4/mmm (No. 123)
One atom of each set of equivalent atoms:
Ce 0.000 0.000 0.000 (multiplicity 1)
Ho 0.000 0.000 0.500 (multiplicity 1)
Tm 0.000 0.500 0.249 (multiplicity 4)
Tm 0.500 0.500 0.000 (multiplicity 1)
Tm 0.500 0.500 0.500 (multiplicity 1)

Values from the calculation:
The value obtained for the total DFT energy (no corrections) is -36.97 eV per cell. The relative energy among the computed polymorphs comes out at 0 meV/atom. Its volume is 30.2 Å³/atom.

***

Number 7 is which compound? SrCu2F6

***

The lowest total DFT energy (no corrections) belongs to which entry? Mg3NiSn2

***

The lowest total DFT energy (no corrections) belongs to which entry? Mg3NiSn2